1.
The following is a PBE calculation of a relaxed structure of NiW, from the Alexandria database.

Computed properties:
Space group: I-43m, No. 217
Formation enthalpy at 0 K (eV per atom): 1.69
Crystal system: cubic

abc: 7.4343 7.4343 7.4343
angles: 90.00 90.00 90.00
Fractional positions:
Ni1 0.1878 0.1878 0.1878
Ni2 0.1878 0.8122 0.8122
Ni3 0.8122 0.1878 0.8122
Ni4 0.8122 0.8122 0.1878
Ni5 0.6878 0.6878 0.6878
Ni6 0.6878 0.3122 0.3122
Ni7 0.3122 0.6878 0.3122
Ni8 0.3122 0.3122 0.6878
W1 0.3717 0.3717 0.3717
W2 0.3717 0.6283 0.6283
W3 0.6283 0.3717 0.6283
W4 0.6283 0.6283 0.3717
W5 0.8717 0.8717 0.8717
W6 0.8717 0.1283 0.1283
W7 0.1283 0.8717 0.1283
W8 0.1283 0.1283 0.8717

***

2.
The following is a PBE calculation of a relaxed structure of CaY4Ge4, from the Alexandria database.

Computed properties:
Space group: P4_2/n, No. 86
Formation enthalpy at 0 K (eV per atom): -0.63
Crystal system: tetragonal

abc: 5.8069 9.4329 9.4329
angles: 90.00 90.00 90.00
Fractional positions:
Ca1 0.0000 0.0000 0.0000
Ca2 0.5000 0.5000 0.5000
Y1 0.3841 0.3532 0.8873
Y2 0.8841 0.6127 0.8532
Y3 0.3841 0.6468 0.1127
Y4 0.1159 0.1468 0.6127
Y5 0.6159 0.8873 0.6468
Y6 0.1159 0.8532 0.3873
Y7 0.8841 0.3873 0.1468
Y8 0.6159 0.1127 0.3532
Ge1 0.6063 0.7976 0.3469
Ge2 0.6063 0.2024 0.6531
Ge3 0.1063 0.8469 0.7024
Ge4 0.8937 0.2976 0.8469
Ge5 0.8937 0.7024 0.1531
Ge6 0.3937 0.3469 0.2024
Ge7 0.3937 0.6531 0.7976
Ge8 0.1063 0.1531 0.2976

***

3.
The following is a PBE calculation of a relaxed structure of La2Er5, from the Alexandria database.

Computed properties:
Space group: C2/m, No. 12
Formation enthalpy at 0 K (eV per atom): 0.04
Crystal system: monoclinic

abc: 5.0588 6.1845 8.0431
angles: 97.54 90.00 114.14
Fractional positions:
La1 0.0727 0.1453 0.2172
La2 0.9273 0.8547 0.7828
Er1 0.3559 0.7117 0.0707
Er2 0.6441 0.2883 0.9293
Er3 0.2131 0.4261 0.6433
Er4 0.5000 0.0000 0.5000
Er5 0.7869 0.5739 0.3567

***

4.
The following is a PBE calculation of a relaxed structure of CaRu2Au, from the Alexandria database.

Computed properties:
Space group: Pmmm, No. 47
Formation enthalpy at 0 K (eV per atom): 0.44
Crystal system: orthorhombic

abc: 2.7198 4.4251 6.0196
angles: 90.00 90.00 90.00
Fractional positions:
Ru1 0.0000 0.0000 0.0462
Ru2 0.0000 0.0000 0.4538
Ca1 0.5000 0.5000 0.7500
Au1 0.5000 0.5000 0.2500

***

5.
The following is a PBE calculation of a relaxed structure of Ba3Ag2Sb4Pb2, from the Alexandria database.

Computed properties:
Space group: P-3m1, No. 164
Crystal system: trigonal
Formation energy without anion corrections (meV/atom): -628

abc: 4.8323 4.8323 19.4795
angles: 90.00 90.00 120.00
Fractional positions:
Ba1 0.0000 0.0000 0.7563
Ba2 0.0000 0.0000 0.0000
Ba3 0.0000 0.0000 0.2437
Ag1 0.6667 0.3333 0.8762
Ag2 0.3333 0.6667 0.1238
Sb1 0.6667 0.3333 0.1208
Sb2 0.3333 0.6667 0.8792
Sb3 0.6667 0.3333 0.6466
Sb4 0.3333 0.6667 0.3534
Pb1 0.6667 0.3333 0.4271
Pb2 0.3333 0.6667 0.5729

***

6.
The following is a PBE calculation of a relaxed structure of Co3H12Rh5, from the Alexandria database.

Computed properties:
Space group: Ia-3d, No. 230
Crystal system: cubic
Total DFT energy (no corrections) (eV per atom): -4.77

abc: 9.0667 9.0667 9.0667
angles: 109.47 109.47 109.47
Site moments in Bohr magnetons follow the coordinates.
Fractional positions:
Co1 0.7500 0.3750 0.1250  1.15
Co2 0.8750 0.7500 0.1250  1.15
Co3 0.3750 0.7500 0.6250  1.15
Co4 0.2500 0.1250 0.3750  1.15
Co5 0.8750 0.1250 0.2500  1.15
Co6 0.3750 0.6250 0.2500  1.15
Co7 0.6250 0.3750 0.7500  1.15
Co8 0.1250 0.8750 0.7500  1.15
Co9 0.7500 0.8750 0.6250  1.15
Co10 0.6250 0.2500 0.3750  1.15
Co11 0.1250 0.2500 0.8750  1.15
Co12 0.2500 0.6250 0.8750  1.15
Rh1 0.1250 0.3750 0.2500  0.02
Rh2 0.0000 0.5000 0.0000  0.16
Rh3 0.0000 0.0000 0.0000  0.16
Rh4 0.3750 0.2500 0.1250  0.02
Rh5 0.5000 0.0000 0.5000  0.16
Rh6 0.5000 0.5000 0.0000  0.16
Rh7 0.1250 0.7500 0.3750  0.02
Rh8 0.7500 0.1250 0.8750  0.02
Rh9 0.7500 0.6250 0.3750  0.02
Rh10 0.3750 0.1250 0.7500  0.02
Rh11 0.6250 0.8750 0.2500  0.02
Rh12 0.5000 0.5000 0.5000  0.16
Rh13 0.5000 0.0000 0.0000  0.16
Rh14 0.0000 0.0000 0.5000  0.16
Rh15 0.2500 0.3750 0.6250  0.02
Rh16 0.2500 0.8750 0.1250  0.02
Rh17 0.0000 0.5000 0.5000  0.16
Rh18 0.8750 0.2500 0.6250  0.02
Rh19 0.6250 0.7500 0.8750  0.02
Rh20 0.8750 0.6250 0.7500  0.02
H1 0.7295 0.1474 0.0638  -0.01
H2 0.3343 0.5638 0.4164  -0.01
H3 0.9362 0.3526 0.2705  -0.01
H4 0.5638 0.2295 0.1474  -0.01
H5 0.5821 0.7295 0.6657  -0.01
H6 0.9362 0.5836 0.1657  -0.01
H7 0.3343 0.7705 0.4179  -0.01
H8 0.0836 0.9179 0.1474  -0.01
H9 0.5836 0.9362 0.6657  -0.01
H10 0.7295 0.5821 0.1657  -0.01
H11 0.7705 0.4362 0.3526  -0.01
H12 0.8343 0.9164 0.0638  -0.01
H13 0.1474 0.7295 0.5638  -0.01
H14 0.3526 0.4164 0.0821  -0.01
H15 0.0821 0.9164 0.3526  -0.01
H16 0.4179 0.1474 0.5836  -0.01
H17 0.0821 0.1657 0.2295  -0.01
H18 0.4362 0.6657 0.0836  -0.01
H19 0.8343 0.9179 0.2705  -0.01
H20 0.1474 0.4179 0.0836  -0.01
H21 0.3526 0.9362 0.7705  -0.01
H22 0.5836 0.6474 0.4179  -0.01
H23 0.9164 0.8343 0.5638  -0.01
H24 0.7705 0.3343 0.9179  -0.01
H25 0.4164 0.3526 0.5821  -0.01
H26 0.0836 0.1657 0.4362  -0.01
H27 0.2295 0.6657 0.0821  -0.01
H28 0.1657 0.0821 0.7295  -0.01
H29 0.6474 0.0638 0.2295  -0.01
H30 0.8526 0.5821 0.9164  -0.01
H31 0.5638 0.3343 0.9164  -0.01
H32 0.5821 0.8526 0.4164  -0.01
H33 0.9179 0.8343 0.7705  -0.01
H34 0.9179 0.0836 0.6474  -0.01
H35 0.8526 0.2705 0.4362  -0.01
H36 0.1657 0.0836 0.9362  -0.01
H37 0.6474 0.5836 0.9179  -0.01
H38 0.4164 0.0638 0.3343  -0.01
H39 0.2705 0.4179 0.8343  -0.01
H40 0.2295 0.5638 0.6474  -0.01
H41 0.9164 0.0821 0.8526  -0.01
H42 0.6657 0.2295 0.5821  -0.01
H43 0.4362 0.7705 0.8526  -0.01
H44 0.0638 0.4164 0.8343  -0.01
H45 0.4179 0.2705 0.3343  -0.01
H46 0.0638 0.6474 0.7295  -0.01
H47 0.6657 0.4362 0.5836  -0.01
H48 0.2705 0.8526 0.9362  -0.01

***

7.
The following is a PBE calculation of a relaxed structure of Pr3Al8Pt3, from the Alexandria database.

Computed properties:
Space group: C2/m, No. 12
Formation enthalpy at 0 K (eV per atom): -0.82
Crystal system: monoclinic

abc: 4.5141 8.3459 8.4227
angles: 65.62 74.46 74.31
Fractional positions:
Pr1 0.2866 0.7304 0.6964
Pr2 0.7134 0.2696 0.3036
Pr3 0.0000 0.0000 0.0000
Al1 0.1304 0.1596 0.5796
Al2 0.8696 0.8404 0.4204
Al3 0.8463 0.4399 0.8674
Al4 0.1537 0.5601 0.1326
Al5 0.5077 0.6609 0.3237
Al6 0.4923 0.3391 0.6763
Al7 0.3495 0.0190 0.2819
Al8 0.6505 0.9810 0.7181
Pt1 0.0000 0.5000 0.5000
Pt2 0.6505 0.7003 0.9987
Pt3 0.3495 0.2997 0.0013

***

8.
The following is a PBE calculation of a relaxed structure of NaAuSCl2, from the Alexandria database.

Computed properties:
Space group: P4/mmm, No. 123
Crystal system: tetragonal
Formation energy without anion corrections (meV/atom): -372

abc: 5.2116 5.2116 4.7733
angles: 90.00 90.00 90.00
Site moments in Bohr magnetons follow the coordinates.
Fractional positions:
Na1 0.5000 0.5000 0.5000  0.00
S1 0.0000 0.0000 0.5000  0.39
Au1 0.0000 0.0000 0.0000  0.16
Cl1 0.0000 0.5000 0.0000  0.04
Cl2 0.5000 0.0000 0.0000  0.04

***

Copy entry 3 word for word.
The following is a PBE calculation of a relaxed structure of La2Er5, from the Alexandria database.

Computed properties:
Space group: C2/m, No. 12
Formation enthalpy at 0 K (eV per atom): 0.04
Crystal system: monoclinic

abc: 5.0588 6.1845 8.0431
angles: 97.54 90.00 114.14
Fractional positions:
La1 0.0727 0.1453 0.2172
La2 0.9273 0.8547 0.7828
Er1 0.3559 0.7117 0.0707
Er2 0.6441 0.2883 0.9293
Er3 0.2131 0.4261 0.6433
Er4 0.5000 0.0000 0.5000
Er5 0.7869 0.5739 0.3567

***

What is the formula in the third record?
La2Er5